The following is a DFT calculation (PBE-GGA) of crystalline NpReRu at its relaxed geometry.

Calculated values
**DOS(E_F)**: 1.21 states/eV per atom
**E_form**: 0.19 eV per atom
**Volume**: 102.4 Å³/cell
**Total moment**: 0.0 μB/cell

```
NpReRu
1.0
4.078 -2.474 0.000
4.078 2.474 0.000
-2.577 0.000 5.077
Np Re Ru
2 2 2
Cartesian
-0.499 0.000 1.101 Np
6.079 0.000 3.976 Np
2.080 0.000 1.479 Re
3.500 0.000 3.598 Re
0.447 0.000 4.131 Ru
5.133 0.000 0.946 Ru
```